1.
K2FeIr: optimized geometry, PBE.

- Crystal system: monoclinic
- SG: C2/m
- Formation energy: 1.08 eV/atom
- Offset from the most stable computed form: 2.33 eV/f.u.
- Magnetic moment: 3.17 μB/cell

CIF file:
```
data_K2FeIr
_symmetry_space_group_name_H-M 'P 1'
_symmetry_Int_Tables_number 1
_cell_length_a 6.1848
_cell_length_b 6.1848
_cell_length_c 2.7898
_cell_angle_alpha 94.92
_cell_angle_beta 94.92
_cell_angle_gamma 126.05
loop_
_symmetry_equiv_pos_as_xyz
'x,y,z'
loop_
_atom_site_label
_atom_site_fract_x
_atom_site_fract_y
_atom_site_fract_z
K1 0.0000 0.5000 0.0000
K2 0.5000 0.0000 0.0000
Fe1 0.0000 0.0000 0.5000
Ir1 0.5000 0.5000 0.5000
```

=====

2.
KFeIr: optimized geometry, PBE.

- Crystal system: monoclinic
- SG: Pm
- Formation energy: 0.39 eV/atom
- Offset from the most stable computed form: 0.12 eV/f.u.
- Magnetic moment: 6.48 μB/cell

CIF file:
```
data_KFeIr
_symmetry_space_group_name_H-M 'P 1'
_symmetry_Int_Tables_number 1
_cell_length_a 5.0370
_cell_length_b 4.4170
_cell_length_c 6.3494
_cell_angle_alpha 90.00
_cell_angle_beta 108.20
_cell_angle_gamma 90.00
loop_
_symmetry_equiv_pos_as_xyz
'x,y,z'
loop_
_atom_site_label
_atom_site_fract_x
_atom_site_fract_y
_atom_site_fract_z
K1 0.0000 0.0000 0.0000
K2 0.4952 0.5000 0.0345
Fe1 0.1597 0.5000 0.5036
Fe2 0.9128 0.0000 0.4954
Ir1 0.4162 0.0000 0.5346
Ir2 0.6984 0.5000 0.5627
```

=====

3.
KFeIr: optimized geometry, PBE.

- Crystal system: monoclinic
- SG: Pm
- Formation energy: 0.37 eV/atom
- Offset from the most stable computed form: 0.07 eV/f.u.
- Magnetic moment: 5.67 μB/cell

CIF file:
```
data_KFeIr
_symmetry_space_group_name_H-M 'P 1'
_symmetry_Int_Tables_number 1
_cell_length_a 4.9410
_cell_length_b 4.3563
_cell_length_c 6.3876
_cell_angle_alpha 90.00
_cell_angle_beta 99.23
_cell_angle_gamma 90.00
loop_
_symmetry_equiv_pos_as_xyz
'x,y,z'
loop_
_atom_site_label
_atom_site_fract_x
_atom_site_fract_y
_atom_site_fract_z
K1 0.0000 0.0000 0.0000
K2 0.4941 0.5000 0.8706
Fe1 0.3376 0.5000 0.3866
Fe2 0.8572 0.5000 0.4205
Ir1 0.1202 0.0000 0.5006
Ir2 0.5968 0.0000 0.4008
```

=====

4.
K2FeIr: optimized geometry, PBE.

- Crystal system: monoclinic
- SG: Pm
- Formation energy: 0.50 eV/atom
- Offset from the most stable computed form: 0.00 eV/f.u.
- Magnetic moment: 3.25 μB/cell

CIF file:
```
data_K2FeIr
_symmetry_space_group_name_H-M 'P 1'
_symmetry_Int_Tables_number 1
_cell_length_a 3.7642
_cell_length_b 3.0796
_cell_length_c 10.0515
_cell_angle_alpha 90.00
_cell_angle_beta 90.18
_cell_angle_gamma 90.00
loop_
_symmetry_equiv_pos_as_xyz
'x,y,z'
loop_
_atom_site_label
_atom_site_fract_x
_atom_site_fract_y
_atom_site_fract_z
K1 0.0000 0.0000 0.0000
K2 0.4957 0.5000 0.4323
Fe1 0.9972 0.0000 0.6888
Ir1 0.4977 0.5000 0.7481
```

=====

5.
KFeIr: optimized geometry, PBE.

- Crystal system: hexagonal
- SG: P-6m2
- Formation energy: 1.15 eV/atom
- Offset from the most stable computed form: 2.41 eV/f.u.
- Magnetic moment: 0.00 μB/cell

CIF file:
```
data_KFeIr
_symmetry_space_group_name_H-M 'P 1'
_symmetry_Int_Tables_number 1
_cell_length_a 4.5020
_cell_length_b 4.5020
_cell_length_c 7.6221
_cell_angle_alpha 90.00
_cell_angle_beta 90.00
_cell_angle_gamma 120.00
loop_
_symmetry_equiv_pos_as_xyz
'x,y,z'
loop_
_atom_site_label
_atom_site_fract_x
_atom_site_fract_y
_atom_site_fract_z
K1 0.0000 0.0000 0.0000
K2 0.0000 0.0000 0.5000
Fe1 0.6667 0.3333 0.1387
Fe2 0.6667 0.3333 0.8613
Ir1 0.3333 0.6667 0.1634
Ir2 0.3333 0.6667 0.8366
```

=====

6.
K2FeIr: optimized geometry, PBE.

- Crystal system: monoclinic
- SG: C2/m
- Formation energy: 0.52 eV/atom
- Offset from the most stable computed form: 0.11 eV/f.u.
- Magnetic moment: 3.83 μB/cell

CIF file:
```
data_K2FeIr
_symmetry_space_group_name_H-M 'P 1'
_symmetry_Int_Tables_number 1
_cell_length_a 10.2999
_cell_length_b 10.2999
_cell_length_c 3.8649
_cell_angle_alpha 100.69
_cell_angle_beta 100.69
_cell_angle_gamma 17.80
loop_
_symmetry_equiv_pos_as_xyz
'x,y,z'
loop_
_atom_site_label
_atom_site_fract_x
_atom_site_fract_y
_atom_site_fract_z
K1 0.1436 0.1436 0.1437
K2 0.8564 0.8564 0.8563
Fe1 0.0000 0.0000 0.5000
Ir1 0.5000 0.5000 0.0000
```